Material: Y2ZrIn
Method: DFT, PBE-GGA
State: optimized geometry

Lattice parameters (Å, degrees): 5.776 5.776 3.377 90.00 90.00 107.73
Element x y z (fractional)
Y: 0.000 0.500 0.000
Y: 0.500 0.000 0.000
Zr: 0.000 0.000 0.500
In: 0.500 0.500 0.500

Properties
- energy relative to the lowest polymorph listed for this composition (eV/f.u.) = 0.39
- VASP energy (eV per cell) = -24.611
- energy of formation (eV per atom) = -0.099
- total magnetic moment (μB/cell) = 0.0